Material: GdTh2Sc
Method: DFT, PBE-GGA
State: optimized geometry

Cell: 3.533 3.533 9.667 Å, 90.00 90.00 90.00°
Fractional positions:
Gd1 0.000 0.000 0.000
Th1 0.500 0.500 0.262
Th2 0.500 0.500 0.738
Sc1 0.000 0.000 0.500

Properties
density of states at the Fermi level	5.773	states/eV/cell
E_form	0.04	eV per atom
polymorph energy (0 for the lowest one)	0.000	eV per atom
SG	No. 123
total magnetization	6.95	μB per formula unit